Entry 1:
## La4Ge2O (PBE-GGA)

Data for crystalline La4Ge2O at its relaxed geometry.

```
La4Ge2O
1.0
6.963 0.000 -0.071
0.000 7.004 0.000
-2.642 0.000 8.312
La Ge O
8 4 2
Direct
0.498 0.499 0.257
0.082 0.750 0.912
0.918 0.250 0.088
0.498 0.001 0.257
0.938 0.250 0.627
0.502 0.999 0.743
0.502 0.501 0.743
0.062 0.750 0.373
0.719 0.750 0.051
0.281 0.250 0.949
0.253 0.250 0.437
0.747 0.750 0.563
0.264 0.750 0.192
0.736 0.250 0.808
```

Computed properties:
As for the magnetization: 0.17 μB/atom. The calculation puts the uncorrected formation energy at -1.298 eV per atom.


Entry 2:
## La2GeO (PBE-GGA)

Data for crystalline La2GeO at its relaxed geometry.

```
La2GeO
1.0
-1.325 1.678 4.552
-2.722 4.207 0.435
-4.802 -0.253 1.474
Ge O La
1 1 2
Direct
0.500 0.500 0.500
0.000 0.000 0.000
0.250 0.250 0.250
0.750 0.750 0.750
```

Computed properties:
As for the magnetization: 0.00 μB/atom. The calculation puts the uncorrected formation energy at -1.120 eV per atom.


Entry 3:
## La5Ge2O12 (PBE-GGA)

Data for crystalline La5Ge2O12 at its relaxed geometry.

```
La5Ge2O12
1.0
-4.153 -0.685 -4.304
-0.228 -4.830 5.199
-3.850 6.209 2.726
La Ge O
5 2 12
Direct
0.311 0.621 0.644
0.305 0.610 0.163
0.000 0.000 0.500
0.695 0.390 0.837
0.689 0.379 0.356
0.757 0.000 0.000
0.243 0.000 0.000
0.002 0.004 0.169
0.104 0.693 0.925
0.589 0.693 0.925
0.093 0.689 0.420
0.596 0.689 0.420
0.501 0.003 0.834
0.499 0.997 0.166
0.907 0.311 0.580
0.404 0.311 0.580
0.896 0.307 0.075
0.411 0.307 0.075
0.998 0.996 0.831
```

Computed properties:
As for the magnetization: 0.06 μB/atom. The calculation puts the uncorrected formation energy at -2.822 eV per atom.


Entry 4:
## La7Ge2O2 (PBE-GGA)

Data for crystalline La7Ge2O2 at its relaxed geometry.

```
La7Ge2O2
1.0
7.208 0.499 -1.681
0.403 6.509 -0.373
-2.127 -0.504 7.089
La Ge O
7 2 2
Direct
0.965 0.240 0.525
0.525 0.760 0.965
0.035 0.760 0.475
0.475 0.240 0.035
0.000 0.000 0.000
0.544 0.743 0.456
0.456 0.257 0.544
0.834 0.500 0.834
0.166 0.500 0.166
0.810 0.021 0.190
0.190 0.979 0.810
```

Computed properties:
As for the magnetization: 0.00 μB/atom. The calculation puts the uncorrected formation energy at -1.128 eV per atom.


Entry 5:
## La6Ge3O (PBE-GGA)

Data for crystalline La6Ge3O at its relaxed geometry.

```
La6Ge3O
1.0
7.108 0.000 0.000
0.000 9.502 0.054
0.000 -2.068 9.274
La Ge O
12 6 2
Direct
0.198 0.686 0.635
0.698 0.635 0.686
0.180 0.424 0.892
0.680 0.892 0.424
0.153 0.046 0.954
0.698 0.219 0.781
0.198 0.781 0.219
0.653 0.954 0.046
0.180 0.108 0.576
0.680 0.576 0.108
0.198 0.365 0.314
0.698 0.314 0.365
0.468 0.935 0.720
0.968 0.720 0.935
0.414 0.383 0.617
0.914 0.617 0.383
0.968 0.065 0.280
0.468 0.280 0.065
0.030 0.197 0.803
0.530 0.803 0.197
```

Computed properties:
As for the magnetization: 0.00 μB/atom. The calculation puts the uncorrected formation energy at -1.043 eV per atom.


Entry 6:
## La4Ge2O (PBE-GGA)

Data for crystalline La4Ge2O at its relaxed geometry.

```
La4Ge2O
1.0
-3.217 4.319 -4.096
-3.439 -5.303 -2.890
-4.289 -1.334 7.550
La Ge O
8 4 2
Direct
0.821 0.964 0.642
0.179 0.036 0.358
0.679 0.464 0.358
0.321 0.536 0.642
0.738 0.250 0.975
0.762 0.750 0.025
0.238 0.250 0.975
0.262 0.750 0.025
0.634 0.021 0.268
0.366 0.979 0.732
0.866 0.521 0.732
0.134 0.479 0.268
0.000 0.000 0.000
0.500 0.500 0.000
```

Computed properties:
As for the magnetization: 0.00 μB/atom. The calculation puts the uncorrected formation energy at -1.305 eV per atom.